DFT (PBE) results for an optimized crystal structure of CaAc2Hg.

a b c (Å): 5.919 5.919 5.919
angles (deg): 60.00 60.00 60.00
Fractional positions:
Ac 0.250 0.250 0.250
Ac 0.750 0.750 0.750
Hg 0.000 0.000 0.000
Ca 0.500 0.500 0.500

Energy of formation from the pure elements = -0.10 eV/atom
Excess energy over the best structure of this formula in the dataset = 0.117 eV/atom

DFT (PBE) results for an optimized crystal structure of ZrAgCl2.

a b c (Å): 6.800 6.800 6.791
angles (deg): 53.67 53.67 27.37
Fractional positions:
Cl 0.164 0.164 0.344
Ag 0.811 0.811 0.749
Cl 0.010 0.010 0.061
Zr 0.515 0.515 0.345

Formation energy from raw total energies = -81.3 kJ per mole of atoms
Excess energy over the best structure of this formula in the dataset = 0.080 eV/atom

DFT (PBE) results for an optimized crystal structure of Pr4Ho8Tm3.

a b c (Å): 6.939 6.939 12.493
angles (deg): 73.88 73.88 60.00
Fractional positions:
Ho 0.756 0.756 0.732
Ho 0.246 0.749 0.255
Ho 0.244 0.244 0.268
Tm 0.000 0.500 0.500
Ho 0.754 0.251 0.745
Pr 0.000 0.000 0.000
Pr 0.500 0.500 0.500
Ho 0.749 0.246 0.255
Tm 0.000 0.000 0.500
Pr 0.664 0.664 0.009
Ho 0.251 0.251 0.745
Ho 0.749 0.749 0.255
Pr 0.336 0.336 0.991
Tm 0.500 0.000 0.500
Ho 0.251 0.754 0.745

Energy of formation from the pure elements = 0.12 eV/atom
Excess energy over the best structure of this formula in the dataset = 0.000 eV/atom

DFT (PBE) results for an optimized crystal structure of Tb5Ce2Er12.

a b c (Å): 9.143 12.123 8.541
angles (deg): 132.53 90.00 112.16
Fractional positions:
Er 0.559 0.735 0.419
Tb 0.286 0.571 0.608
Er 0.966 0.290 0.051
Tb 0.231 0.462 0.897
Er 0.441 0.882 0.224
Tb 0.769 0.538 0.103
Er 0.676 0.710 0.949
Er 0.324 0.290 0.051
Er 0.932 0.865 0.736
Ce 0.351 0.000 0.000
Er 0.034 0.710 0.949
Er 0.559 0.118 0.776
Er 0.823 0.265 0.581
Er 0.441 0.265 0.581
Er 0.177 0.735 0.419
Ce 0.649 0.000 0.000
Er 0.068 0.135 0.264
Tb 0.714 0.429 0.392
Tb 0.000 0.000 0.500

Energy of formation from the pure elements = 0.14 eV/atom
Excess energy over the best structure of this formula in the dataset = 0.000 eV/atom

DFT (PBE) results for an optimized crystal structure of ReAs2Pt.

a b c (Å): 4.531 4.531 4.531
angles (deg): 60.00 60.00 60.00
Fractional positions:
Pt 0.500 0.500 0.500
As 0.250 0.250 0.250
As 0.000 0.000 0.000
Re 0.750 0.750 0.750

Energy of formation from the pure elements = 0.58 eV/atom
Excess energy over the best structure of this formula in the dataset = 0.491 eV/atom

DFT (PBE) results for an optimized crystal structure of CdAgRh2.

a b c (Å): 2.874 3.824 6.016
angles (deg): 90.00 90.00 90.00
Fractional positions:
Cd 0.000 0.500 0.756
Ag 0.500 0.000 0.493
Rh 0.000 0.500 0.225
Rh 0.500 0.000 0.027

Energy of formation from the pure elements = 0.09 eV/atom

Number 1: calculated density 7.87 g/cm3, total magnetic moment 0.00 μB per cell. Number 2: calculated density 3.92 g/cm3, total magnetic moment 0.00 μB per cell. Number 3: calculated density 8.04 g/cm3, total magnetic moment 0.00 μB per cell. Number 4: calculated density 8.54 g/cm3, total magnetic moment 1.07 μB per cell. Number 5: calculated density 13.41 g/cm3, total magnetic moment 0.00 μB per cell. Number 6: calculated density 10.70 g/cm3, total magnetic moment 0.01 μB per cell.